1.
DFT (PBE-GGA) results for a geometry-optimized KBaAs2 structure.

Values from the calculation:
space group: Cmm2
excess energy over the best structure of this formula in the dataset: 438 meV per atom
formation energy from the elements: -248 meV/atom

Cell lengths 3.8934, 3.8934, 9.7049 Å; angles 90.00, 90.00, 87.18 degrees
Fractional positions:
As (0.0000, 0.0000, 0.0910)
As (0.5000, 0.5000, 0.1679)
Ba (0.0000, 0.0000, 0.4044)
K (0.5000, 0.5000, 0.8368)

***

2.
DFT (PBE-GGA) results for a geometry-optimized K2AgMoPb structure.

Values from the calculation:
space group: P4/mmm
formation energy from the elements: 1039 meV/atom

Cell lengths 6.0133, 5.4544, 6.0133 Å; angles 90.00, 90.00, 90.00 degrees
Site moments in Bohr magnetons follow the coordinates.
Fractional positions:
Pb (0.5000, 0.5000, 0.5000)  -0.32
Mo (0.0000, 0.5000, 0.0000)  3.56
K (0.0000, 0.0000, 0.5000)  0.00
K (0.5000, 0.0000, 0.0000)  -0.01
Ag (0.0000, 0.0000, 0.0000)  0.08

***

3.
DFT (PBE-GGA) results for a geometry-optimized Nb2SbC structure.

Values from the calculation:
total energy: -34.979 eV/cell
space group: R-3m

Cell lengths 3.3147, 3.3147, 7.1149 Å; angles 76.53, 76.53, 60.00 degrees
Fractional positions:
Sb (0.5000, 0.5000, 0.5000)
Nb (0.2786, 0.2786, 0.1641)
Nb (0.7214, 0.7214, 0.8359)
C (0.0000, 0.0000, 0.0000)

***

4.
DFT (PBE-GGA) results for a geometry-optimized Ba2Y2CuPtO8 structure.

Values from the calculation:
total energy: -392.741 eV/cell
space group: Pnma

Cell lengths 5.7439, 10.4622, 13.3893 Å; angles 90.00, 90.00, 90.00 degrees
Site moments in Bohr magnetons follow the coordinates.
Fractional positions:
Ba (0.7500, 0.1876, 0.2920)  0.00
Ba (0.7500, 0.5895, 0.5764)  0.00
Ba (0.2500, 0.4105, 0.4236)  0.00
Ba (0.7500, 0.3124, 0.7920)  0.00
Ba (0.2500, 0.6876, 0.2080)  0.00
Ba (0.7500, 0.9105, 0.0764)  0.00
Ba (0.2500, 0.8124, 0.7080)  0.00
Ba (0.2500, 0.0895, 0.9236)  0.00
Y (0.2500, 0.3137, 0.1425)  0.00
Y (0.2500, 0.0151, 0.4165)  0.01
Y (0.7500, 0.8137, 0.3575)  0.00
Y (0.7500, 0.6863, 0.8575)  0.00
Y (0.2500, 0.1863, 0.6425)  0.00
Y (0.2500, 0.4849, 0.9165)  0.01
Y (0.7500, 0.5151, 0.0835)  0.01
Y (0.7500, 0.9849, 0.5835)  0.01
Cu (0.7500, 0.2337, 0.0388)  0.53
Cu (0.7500, 0.2663, 0.5388)  0.53
Cu (0.2500, 0.7663, 0.9612)  0.53
Cu (0.2500, 0.7337, 0.4612)  0.53
Pt (0.7500, 0.5341, 0.3065)  0.08
Pt (0.7500, 0.9659, 0.8065)  0.08
Pt (0.2500, 0.0341, 0.1935)  0.08
Pt (0.2500, 0.4659, 0.6935)  0.08
O (0.0073, 0.6360, 0.9920)  0.11
O (0.4932, 0.3598, 0.6139)  0.04
O (0.7500, 0.8127, 0.7042)  0.00
O (0.9927, 0.1360, 0.5080)  0.11
O (0.5068, 0.8598, 0.8861)  0.04
O (0.7500, 0.3926, 0.4112)  0.04
O (0.0068, 0.1402, 0.1139)  0.04
O (0.7500, 0.6873, 0.2042)  0.00
O (0.5090, 0.4460, 0.2171)  0.03
O (0.4910, 0.9460, 0.2829)  0.03
O (0.9927, 0.3640, 0.0080)  0.11
O (0.4932, 0.1402, 0.1139)  0.04
O (0.2500, 0.3127, 0.7958)  0.00
O (0.0090, 0.5540, 0.7829)  0.03
O (0.5073, 0.3640, 0.0080)  0.11
O (0.9910, 0.4460, 0.2171)  0.03
O (0.2500, 0.6074, 0.5888)  0.04
O (0.5090, 0.0540, 0.7171)  0.03
O (0.0068, 0.3598, 0.6139)  0.04
O (0.4927, 0.8640, 0.4920)  0.11
O (0.0090, 0.9460, 0.2829)  0.03
O (0.9910, 0.0540, 0.7171)  0.03
O (0.9932, 0.6402, 0.3861)  0.04
O (0.9932, 0.8598, 0.8861)  0.04
O (0.5073, 0.1360, 0.5080)  0.11
O (0.5068, 0.6402, 0.3861)  0.04
O (0.4910, 0.5540, 0.7829)  0.03
O (0.0073, 0.8640, 0.4920)  0.11
O (0.7500, 0.1074, 0.9112)  0.04
O (0.4927, 0.6360, 0.9920)  0.11
O (0.2500, 0.1873, 0.2958)  0.00
O (0.2500, 0.8926, 0.0888)  0.04

***

5.
DFT (PBE-GGA) results for a geometry-optimized Mn2AsOs structure.

Values from the calculation:
space group: P4/mmm
formation energy from the elements: 103 meV/atom

Cell lengths 2.8048, 2.8048, 6.3404 Å; angles 90.00, 90.00, 90.00 degrees
Fractional positions:
As (0.5000, 0.5000, 0.7500)
Mn (0.0000, 0.0000, 0.9806)
Mn (0.0000, 0.0000, 0.5194)
Os (0.5000, 0.5000, 0.2500)

***

6.
DFT (PBE-GGA) results for a geometry-optimized Ba2MgBr structure.

Values from the calculation:
space group: Immm
excess energy over the best structure of this formula in the dataset: 166 meV per atom

Cell lengths 6.8502, 6.8502, 6.8502 Å; angles 138.52, 116.13, 79.07 degrees
Fractional positions:
Ba (0.9654, 0.9654, 0.0000)
Ba (0.5346, 0.5346, 0.0000)
Br (0.7500, 0.2500, 0.5000)
Mg (0.2500, 0.7500, 0.5000)

***

7.
DFT (PBE-GGA) results for a geometry-optimized Pm2Dy3Y6Th structure.

Values from the calculation:
space group: C2/m
formation energy from the elements: 29 meV/atom

Cell lengths 6.2079, 6.2079, 11.8269 Å; angles 95.02, 95.02, 119.95 degrees
Fractional positions:
Pm (0.3334, 0.6666, 0.0000)
Pm (0.6666, 0.3334, 0.0000)
Dy (0.1671, 0.8329, 0.5000)
Dy (0.8329, 0.1671, 0.5000)
Dy (0.5000, 0.5000, 0.5000)
Y (0.9157, 0.5859, 0.7493)
Y (0.7546, 0.7546, 0.2507)
Y (0.0843, 0.4141, 0.2507)
Y (0.5859, 0.9157, 0.7493)
Y (0.2454, 0.2454, 0.7493)
Y (0.4141, 0.0843, 0.2507)
Th (0.0000, 0.0000, 0.0000)

***

8.
DFT (PBE-GGA) results for a geometry-optimized NaSnSCl2 structure.

Values from the calculation:
space group: P4/mmm
excess energy over the best structure of this formula in the dataset: 473 meV per atom

Cell lengths 4.9269, 4.9269, 5.2906 Å; angles 90.00, 90.00, 90.00 degrees
Site moments in Bohr magnetons follow the coordinates.
Fractional positions:
Na (0.0000, 0.0000, 0.0000)  0.01
S (0.0000, 0.0000, 0.5000)  0.51
Sn (0.5000, 0.5000, 0.5000)  -0.02
Cl (0.0000, 0.5000, 0.0000)  0.08
Cl (0.5000, 0.0000, 0.0000)  0.08

***

9.
DFT (PBE-GGA) results for a geometry-optimized AcPr4Dy2 structure.

Values from the calculation:
space group: R-3m
excess energy over the best structure of this formula in the dataset: 0 meV per atom
formation energy from the elements: 119 meV/atom

Cell lengths 5.8560, 5.8560, 9.1408 Å; angles 71.32, 71.32, 60.00 degrees
Fractional positions:
Ac (0.0000, 0.0000, 0.0000)
Pr (0.4228, 0.4228, 0.7316)
Pr (0.2685, 0.2685, 0.1944)
Pr (0.7315, 0.7315, 0.8056)
Pr (0.5772, 0.5772, 0.2684)
Dy (0.1387, 0.1387, 0.5840)
Dy (0.8613, 0.8613, 0.4160)

***

10.
DFT (PBE-GGA) results for a geometry-optimized LaSeBr2N structure.

Values from the calculation:
space group: P4/mmm
excess energy over the best structure of this formula in the dataset: 105 meV per atom

Cell lengths 5.9022, 5.9022, 5.9504 Å; angles 90.00, 90.00, 90.00 degrees
Site moments in Bohr magnetons follow the coordinates.
Fractional positions:
N (0.5000, 0.5000, 0.5000)  1.93
Se (0.0000, 0.0000, 0.5000)  0.52
Br (0.0000, 0.5000, 0.0000)  0.06
Br (0.5000, 0.0000, 0.0000)  0.06
La (0.0000, 0.0000, 0.0000)  -0.01

***

11.
DFT (PBE-GGA) results for a geometry-optimized TlTcN2O structure.

Values from the calculation:
total energy: -33.399 eV/cell
space group: P4/mmm

Cell lengths 3.9630, 3.9630, 4.0561 Å; angles 90.00, 90.00, 90.00 degrees
Site moments in Bohr magnetons follow the coordinates.
Fractional positions:
Tl (0.5000, 0.5000, 0.5000)  -0.03
Tc (0.0000, 0.0000, 0.0000)  0.07
O (0.0000, 0.0000, 0.5000)  0.00
N (0.0000, 0.5000, 0.0000)  -0.16
N (0.5000, 0.0000, 0.0000)  -0.16

***

12.
DFT (PBE-GGA) results for a geometry-optimized Y2PaCu9 structure.

Values from the calculation:
space group: R-3m
formation energy from the elements: -100 meV/atom

Cell lengths 5.1771, 5.1771, 8.7745 Å; angles 72.84, 72.84, 60.00 degrees
Site moments in Bohr magnetons follow the coordinates.
Fractional positions:
Y (0.8572, 0.8572, 0.4285)  0.00
Y (0.1428, 0.1428, 0.5715)  0.00
Pa (0.0000, 0.0000, 0.0000)  0.27
Cu (0.6679, 0.6679, 0.9963)  0.00
Cu (0.3321, 0.3321, 0.0037)  0.00
Cu (0.5000, 0.5000, 0.5000)  0.00
Cu (0.4196, 0.4196, 0.2444)  0.00
Cu (0.9165, 0.4196, 0.2444)  0.00
Cu (0.4196, 0.9165, 0.2444)  0.00
Cu (0.5804, 0.5804, 0.7556)  0.00
Cu (0.5804, 0.0835, 0.7556)  0.00
Cu (0.0835, 0.5804, 0.7556)  0.00

***

13.
DFT (PBE-GGA) results for a geometry-optimized PaGa4Rh structure.

Values from the calculation:
space group: Cmcm
excess energy over the best structure of this formula in the dataset: 0 meV per atom
formation energy from the elements: -501 meV/atom

Cell lengths 4.2389, 6.5849, 8.0538 Å; angles 90.00, 105.26, 90.00 degrees
Fractional positions:
Pa (0.1181, 0.2500, 0.2362)
Pa (0.8819, 0.7500, 0.7638)
Ga (0.5000, 0.5000, 0.0000)
Ga (0.5000, 0.0000, 0.0000)
Ga (0.6793, 0.9482, 0.3587)
Ga (0.3207, 0.0518, 0.6413)
Ga (0.3207, 0.4482, 0.6413)
Ga (0.6793, 0.5518, 0.3587)
Ga (0.0667, 0.7500, 0.1334)
Ga (0.9333, 0.2500, 0.8666)
Rh (0.2242, 0.7500, 0.4484)
Rh (0.7758, 0.2500, 0.5516)

***

14.
DFT (PBE-GGA) results for a geometry-optimized YIn2Pt structure.

Values from the calculation:
space group: Amm2
formation energy from the elements: -599 meV/atom

Cell lengths 4.0936, 3.8001, 6.4819 Å; angles 73.01, 90.00, 90.00 degrees
Fractional positions:
In (0.0000, 0.0556, 0.0145)
In (0.5000, 0.4440, 0.2367)
Pt (0.0000, 0.2849, 0.5544)
Y (0.5000, 0.7155, 0.6944)

***

15.
DFT (PBE-GGA) results for a geometry-optimized Ga2CuReP structure.

Values from the calculation:
space group: P4/mmm
formation energy from the elements: 1167 meV/atom

Cell lengths 4.5722, 4.3113, 4.5722 Å; angles 90.00, 90.00, 90.00 degrees
Site moments in Bohr magnetons follow the coordinates.
Fractional positions:
Re (0.5000, 0.5000, 0.5000)  2.16
Cu (0.0000, 0.0000, 0.0000)  -0.02
Ga (0.0000, 0.0000, 0.5000)  -0.01
Ga (0.5000, 0.0000, 0.0000)  0.00
P (0.0000, 0.5000, 0.0000)  -0.08

***

16.
DFT (PBE-GGA) results for a geometry-optimized SmAl3ZnNi structure.

Values from the calculation:
space group: Cmcm
formation energy from the elements: -291 meV/atom

Cell lengths 5.8314, 6.0220, 6.8939 Å; angles 115.90, 90.00, 90.00 degrees
Fractional positions:
Sm (0.7500, 0.2828, 0.5656)
Sm (0.2500, 0.7172, 0.4344)
Al (0.2500, 0.1339, 0.2678)
Al (0.0000, 0.2842, 0.0000)
Al (0.5000, 0.7158, 0.0000)
Al (0.5000, 0.2842, 0.0000)
Al (0.0000, 0.7158, 0.0000)
Al (0.7500, 0.8661, 0.7322)
Zn (0.2500, 0.3464, 0.6929)
Zn (0.7500, 0.6536, 0.3071)
Ni (0.2500, 0.9304, 0.8608)
Ni (0.7500, 0.0696, 0.1392)

***

17.
DFT (PBE-GGA) results for a geometry-optimized CaNiBr4 structure.

Values from the calculation:
total energy: -12.560 eV/cell
space group: F-43m

Cell lengths 6.3390, 6.3390, 6.3390 Å; angles 60.00, 60.00, 60.00 degrees
Site moments in Bohr magnetons follow the coordinates.
Fractional positions:
Ca (0.7500, 0.7500, 0.7500)  0.01
Ni (0.0000, 0.0000, 0.0000)  0.98
Br (0.8761, 0.3746, 0.3746)  0.34
Br (0.3746, 0.3746, 0.8761)  0.34
Br (0.3746, 0.8761, 0.3746)  0.34
Br (0.3746, 0.3746, 0.3746)  0.34

***

18.
DFT (PBE-GGA) results for a geometry-optimized GdHf2Al structure.

Values from the calculation:
space group: R-3m
excess energy over the best structure of this formula in the dataset: 336 meV per atom
formation energy from the elements: 231 meV/atom

Cell lengths 3.1026, 3.1026, 11.2278 Å; angles 82.06, 82.06, 60.00 degrees
Site moments in Bohr magnetons follow the coordinates.
Fractional positions:
Gd (0.0000, 0.0000, 0.0000)  -7.31
Hf (0.0948, 0.0948, 0.7156)  -0.09
Hf (0.9052, 0.9052, 0.2844)  -0.09
Al (0.5000, 0.5000, 0.5000)  0.00

***

19.
DFT (PBE-GGA) results for a geometry-optimized LiAcIn4 structure.

Values from the calculation:
space group: F-43m
excess energy over the best structure of this formula in the dataset: 125 meV per atom
formation energy from the elements: -231 meV/atom

Cell lengths 6.2076, 6.2076, 6.2076 Å; angles 60.00, 60.00, 60.00 degrees
Fractional positions:
Ac (0.0000, 0.0000, 0.0000)
Li (0.2500, 0.2500, 0.2500)
In (0.6249, 0.6249, 0.1252)
In (0.6249, 0.1252, 0.6249)
In (0.6249, 0.6249, 0.6249)
In (0.1252, 0.6249, 0.6249)